1.
Entry from Alexandria: crystalline PuNiBr6 at its relaxed geometry (GGA-PBE).

```
PuNiBr6
1.0
6.5954 0.2746 0.0000
1.8837 6.3294 0.0000
0.9419 3.1647 6.5403
Br Pu Ni
6 1 1
Cartesian
2.1585 1.6684 0.0000 Br
6.3207 4.9356 0.0000 Br
3.1499 4.6845 1.8474 Br
6.2711 5.0841 4.6929 Br
4.0918 7.8492 4.6929 Br
5.3292 1.9194 1.8474 Br
0.0000 0.0000 0.0000 Pu
4.2396 3.3020 0.0000 Ni
```

Values from the calculation:
DOS at the Fermi energy, states/eV/atom: 1.84
Formation energy (no corrections), eV/atom: -0.86
Space-group type: C2/m

***

2.
Entry from Alexandria: crystalline Rb2CdSO6 at its relaxed geometry (GGA-PBE).

```
Rb2CdSO6
1.0
-1.1890 0.8385 -5.4526
-3.0082 -5.4905 -0.1884
-3.1143 5.2280 1.4831
O Cd Rb S
6 1 2 1
Cartesian
-5.1673 -0.7417 0.0088 O
-4.0856 4.5768 -3.2421 O
-1.3506 -0.5781 -0.7983 O
-2.1442 1.3178 -4.1667 O
-5.9609 1.1541 -3.3595 O
-3.2259 -4.0008 -0.9157 O
-0.5945 0.4193 -2.7263 Cd
-3.2670 1.7878 0.0637 Rb
-4.0446 -1.2118 -4.2215 Rb
0.0000 0.0000 0.0000 S
```

Values from the calculation:
DOS at the Fermi energy, states/eV/atom: 0.39
Formation energy (no corrections), eV/atom: -1.00
Space-group type: P-3m1

***

3.
Entry from Alexandria: crystalline Tm4GePSe2 at its relaxed geometry (GGA-PBE).

```
Tm4GePSe2
1.0
-0.2766 0.3676 4.0007
-0.3688 -6.9749 0.6154
6.4308 -2.5973 0.6834
Se Tm P Ge
2 4 1 1
Cartesian
6.4308 -2.5973 0.6834 Se
3.0771 -1.1149 2.3420 Se
1.2487 -5.5820 2.6260 Tm
4.5367 -3.6226 2.6734 Tm
1.2062 -2.1291 4.3326 Tm
4.5792 -7.0755 0.9668 Tm
3.0311 -4.7861 0.6494 P
-0.3227 -3.3037 2.3080 Ge
```

Values from the calculation:
DOS at the Fermi energy, states/eV/atom: 0.16
Formation energy (no corrections), eV/atom: -1.56
Space-group type: P2/m

***

4.
Entry from Alexandria: crystalline Dy4HoAu5 at its relaxed geometry (GGA-PBE).

```
Dy4HoAu5
1.0
-1.1572 -0.4010 -3.3515
0.6184 -3.5082 0.2062
-16.9756 -2.6295 6.1759
Au Dy Ho
5 4 1
Cartesian
-12.1575 -3.7961 2.7524 Au
-8.7572 -3.2693 1.5153 Au
-15.5658 -4.3240 3.9924 Au
-1.9486 -2.2147 -0.9618 Au
-5.3569 -2.7426 0.2782 Au
-6.7882 -1.0515 2.4697 Dy
-3.3873 -0.5247 1.2323 Dy
-10.1874 -1.5780 3.7063 Dy
-13.5883 -2.1048 4.9436 Dy
0.0000 0.0000 0.0000 Ho
```

Values from the calculation:
Formation enthalpy at 0 K, meV per atom: -866
DOS at the Fermi energy, states/eV/atom: 0.40
Space-group type: P4/mmm

***

5.
Entry from Alexandria: crystalline LaSmMg2 at its relaxed geometry (GGA-PBE).

```
LaSmMg2
1.0
3.9166 0.0000 0.0000
0.0000 5.5136 0.0000
0.0000 0.0000 5.5136
Sm La Mg
1 1 2
Cartesian
1.9583 2.7568 2.7568 Sm
1.9583 0.0000 0.0000 La
0.0000 2.7568 0.0000 Mg
0.0000 0.0000 2.7568 Mg
```

Values from the calculation:
Formation enthalpy at 0 K, meV per atom: -107
DOS at the Fermi energy, states/eV/atom: 1.03
Space-group type: P4/mmm
ΔE to the lowest computed polymorph, eV per formula unit: 0.021

***

6.
Entry from Alexandria: crystalline Pr6HgPd5 at its relaxed geometry (GGA-PBE).

```
Pr6HgPd5
1.0
7.4058 0.1510 0.0000
2.2248 7.2422 0.0000
1.1124 3.6211 6.2810
Pr Pd Hg
6 5 1
Cartesian
4.7201 8.9480 4.0591 Pr
6.0229 2.0664 2.2219 Pr
7.1352 5.6875 4.0591 Pr
3.6077 5.3268 2.2219 Pr
7.2149 5.3367 0.0000 Pr
2.4157 2.0566 0.0000 Pr
1.1124 3.6211 2.1938 Pd
2.2248 7.2422 4.0872 Pd
4.8153 3.6966 0.0000 Pd
4.8153 3.6966 4.3968 Pd
5.9277 7.3177 1.8842 Pd
0.0000 0.0000 0.0000 Hg
```

Values from the calculation:
Formation enthalpy at 0 K, meV per atom: -595
DOS at the Fermi energy, states/eV/atom: 0.57
Space-group type: C2/m

***

Result set for final energy: -37.0, -46.7, -47.3, -48.0, -13.3, -62.1 eV per cell, one per record in the order listed.